Record 1
6
Lattice="5.7898 0.0000 0.0000 2.8949 5.0141 0.0000 2.8949 1.6714 4.7274" Properties=species:S:1:pos:R:3 comment="LiCaCd4 meta-GGA SCAN PBEsol geometry" n_ef_per_ev_cell=3.136 total_energy_ev_per_atom=-22.57 vol_a3_per_atom=22.87 ef_kj_per_mol_atoms=-27.36 total_magnetization_mub_per_fu=0.00 pbc="T T T"
Cd 5.7898 5.0072 1.7752
Cd 7.2313 2.5105 1.7752
Cd 5.7898 3.3428 4.1291
Cd 4.3484 2.5105 1.7752
Ca 0.0000 0.0000 0.0000
Li 8.6847 5.0141 3.5455


Record 2
4
Lattice="-3.4915 -0.4223 -1.7917 -0.9187 -3.6598 2.6529 -1.9451 2.7637 3.1392" Properties=species:S:1:pos:R:3 comment="CdInAs2 meta-GGA SCAN PBEsol geometry" n_ef_per_ev_cell=2.173 total_energy_ev_per_atom=-25.77 vol_a3_per_atom=20.99 ef_kj_per_mol_atoms=26.77 total_magnetization_mub_per_fu=0.00 pbc="T T T"
As -0.4593 -1.8299 1.3264
As -0.9726 1.3819 1.5696
In -1.7458 -0.2111 -0.8958
Cd -3.1777 -0.6592 2.0002